SrMnBe2 | PBE | relaxed

Properties
- Electronic total energy: -4.129 eV per atom
- SG: Pm, No. 6
- Formation enthalpy at 0 K: 0.447 eV/atom

abc: 3.718 3.161 6.199
angles: 75.81 90.00 90.00
Positions (direct):
Be  0.500  0.055  0.270
Be  0.000  0.141  0.091
Sr  0.500  0.791  0.781
Mn  0.000  0.512  0.358